First-principles (PBE) data for a geometry-optimized Y2InNiB structure, as listed in Alexandria.

## Properties
Calculated volume = 103.1 Å³/cell
Final energy = -29.68 eV per cell
ΔE_f = -0.311 eV/atom
N(E_F) = 4.10 states/eV/cell

Structure (POSCAR):
```
Y2InNiB
1.0
5.174 0.000 0.000
0.000 5.174 0.000
0.000 0.000 3.850
Y Ni B In
2 1 1 1
direct
0.000 0.500 0.000
0.500 0.000 0.000
0.000 0.000 0.500
0.000 0.000 0.000
0.500 0.500 0.500
```



First-principles (PBE) data for a geometry-optimized Zn2InNi5B2 structure, as listed in Alexandria.

## Properties
Calculated volume = 232.0 Å³/cell
Final energy = -98.29 eV per cell
ΔE_f = -0.160 eV/atom
N(E_F) = 8.91 states/eV/cell

Structure (POSCAR):
```
Zn2InNi5B2
1.0
-1.362 -1.980 -1.601
-4.628 -2.644 7.206
-6.407 5.966 -1.925
Zn In Ni B
4 2 10 4
direct
0.000 0.680 0.180
0.000 0.320 0.820
0.000 0.180 0.320
0.000 0.820 0.680
0.000 0.000 0.000
0.000 0.500 0.500
0.500 0.234 0.067
0.500 0.766 0.933
0.500 0.067 0.766
0.500 0.734 0.433
0.500 0.933 0.234
0.500 0.266 0.567
0.500 0.567 0.734
0.500 0.433 0.266
0.500 0.500 0.000
0.500 0.000 0.500
0.000 0.119 0.619
0.000 0.881 0.381
0.000 0.619 0.881
0.000 0.381 0.119
```



First-principles (PBE) data for a geometry-optimized InBO3 structure, as listed in Alexandria.

## Properties
E_form (uncorrected) = -1.625 eV per atom
Calculated volume = 80.6 Å³/cell
Final energy = -32.42 eV per cell

Structure (POSCAR):
```
InBO3
1.0
-2.327 -1.333 3.472
1.543 -4.078 0.486
2.920 0.621 3.214
In B O
1 1 3
direct
0.426 0.426 0.426
0.155 0.155 0.155
0.900 0.322 0.322
0.322 0.900 0.322
0.322 0.322 0.900
```